(1)
# LiFe4P12, relaxed, DFT PBE
# - Magnetic moment: 0.1001 μB per atom
# - Uncorrected energy: -6.3265 eV per atom
# - Calculated formation energy: -0.404 eV per atom
data_LiFe4P12
_chemical_formula_sum 'Li2 Fe8 P24'
_cell_length_a 7.773
_cell_length_b 7.773
_cell_length_c 7.773
_cell_angle_alpha 90.00
_cell_angle_beta 90.00
_cell_angle_gamma 90.00
_symmetry_space_group_name_H-M 'I m -3'
_symmetry_Int_Tables_number 204
_symmetry_space_group_name_Hall '-I 2 2 3'
loop_
_atom_site_label
_atom_site_fract_x
_atom_site_fract_y
_atom_site_fract_z
Li1 0.000 0.000 0.000
Fe1 0.250 0.250 0.250
P1 0.000 0.352 0.148

(2)
# CrP2CCl, relaxed, DFT PBE
# - Magnetic moment: 0.4832 μB per atom
# - Uncorrected energy: -4.7647 eV per atom
# - Energy above the most stable polymorph in this dataset: 129 meV/atom
# - Formation energy (no corrections): 1.5380 eV per atom
data_CrP2CCl
_chemical_formula_sum 'Cr1 P2 C1 Cl1'
_cell_length_a 4.408
_cell_length_b 4.408
_cell_length_c 4.773
_cell_angle_alpha 90.00
_cell_angle_beta 90.00
_cell_angle_gamma 90.00
_symmetry_space_group_name_H-M 'P 4/m m m'
_symmetry_Int_Tables_number 123
_symmetry_space_group_name_Hall '-P 4 2'
loop_
_atom_site_label
_atom_site_fract_x
_atom_site_fract_y
_atom_site_fract_z
Cr1 0.000 0.000 0.000
P1 0.000 0.500 0.000
C1 0.500 0.500 0.500
Cl1 0.000 0.000 0.500

(3)
# Li5Ag8Hg, relaxed, DFT PBE
# - Magnetic moment: 0.0000 μB per atom
# - Uncorrected energy: -2.4036 eV per atom
# - Calculated formation energy: -0.069 eV per atom
data_Li5Ag8Hg
_chemical_formula_sum 'Li10 Ag16 Hg2'
_cell_length_a 7.956
_cell_length_b 7.956
_cell_length_c 7.865
_cell_angle_alpha 90.00
_cell_angle_beta 90.00
_cell_angle_gamma 90.00
_symmetry_space_group_name_H-M 'I -4'
_symmetry_Int_Tables_number 82
loop_
_symmetry_equiv_pos_as_xyz
'x,y,z'
'y,-x,-z'
'-x,-y,z'
'-y,x,-z'
'x+1/2,y+1/2,z+1/2'
'y+1/2,-x+1/2,-z+1/2'
'-x+1/2,-y+1/2,z+1/2'
'-y+1/2,x+1/2,-z+1/2'
loop_
_atom_site_label
_atom_site_fract_x
_atom_site_fract_y
_atom_site_fract_z
Li1 0.000 0.000 0.000
Li2 0.129 0.220 0.413
Ag1 0.071 0.332 0.096
Ag2 0.094 0.159 0.743
Hg1 0.000 0.500 0.750

(4)
# LiYPb6, relaxed, DFT PBE
# - Magnetic moment: 0.0000 μB per atom
# - Uncorrected energy: -4.0333 eV per atom
# - Calculated formation energy: -0.205 eV per atom
data_LiYPb6
_chemical_formula_sum 'Li1 Y1 Pb6'
_cell_length_a 4.809
_cell_length_b 4.809
_cell_length_c 9.946
_cell_angle_alpha 90.00
_cell_angle_beta 90.00
_cell_angle_gamma 90.00
_symmetry_space_group_name_H-M 'P 4/m m m'
_symmetry_Int_Tables_number 123
_symmetry_space_group_name_Hall '-P 4 2'
loop_
_atom_site_label
_atom_site_fract_x
_atom_site_fract_y
_atom_site_fract_z
Li1 0.000 0.000 0.000
Y1 0.000 0.000 0.500
Pb1 0.000 0.500 0.244
Pb2 0.500 0.500 0.000
Pb3 0.500 0.500 0.500

(5)
# K3Ba7Ti10O27F3, relaxed, DFT PBE
# - Magnetic moment: 0.0000 μB per atom
# - Uncorrected energy: -7.6843 eV per atom
# - Formation energy (no corrections): -2.9806 eV per atom
data_K3Ba7Ti10O27F3
_chemical_formula_sum 'K3 Ba7 Ti10 O27 F3'
_cell_length_a 3.992
_cell_length_b 3.992
_cell_length_c 40.874
_cell_angle_alpha 90.00
_cell_angle_beta 90.00
_cell_angle_gamma 90.00
_symmetry_space_group_name_H-M 'P 4 m m'
_symmetry_Int_Tables_number 99
loop_
_symmetry_equiv_pos_as_xyz
'x,y,z'
'-y,x,z'
'-x,-y,z'
'y,-x,z'
'-x,y,z'
'y,x,z'
'x,-y,z'
'-y,-x,z'
loop_
_atom_site_label
_atom_site_fract_x
_atom_site_fract_y
_atom_site_fract_z
K1 0.000 0.000 0.000
K2 0.000 0.000 0.099
K3 0.000 0.000 0.799
Ba1 0.000 0.000 0.199
Ba2 0.000 0.000 0.300
Ba3 0.000 0.000 0.399
Ba4 0.000 0.000 0.499
Ba5 0.000 0.000 0.599
Ba6 0.000 0.000 0.699
Ba7 0.000 0.000 0.899
Ti1 0.500 0.500 0.050
Ti2 0.500 0.500 0.153
Ti3 0.500 0.500 0.251
Ti4 0.500 0.500 0.350
Ti5 0.500 0.500 0.449
Ti6 0.500 0.500 0.549
Ti7 0.500 0.500 0.648
Ti8 0.500 0.500 0.746
Ti9 0.500 0.500 0.850
Ti10 0.500 0.500 0.947
O1 0.000 0.500 0.049
O2 0.000 0.500 0.151
O3 0.000 0.500 0.250
O4 0.000 0.500 0.350
O5 0.000 0.500 0.449
O6 0.000 0.500 0.549
O7 0.000 0.500 0.648
O8 0.000 0.500 0.747
O9 0.000 0.500 0.849
O10 0.000 0.500 0.948
O11 0.500 0.500 0.200
O12 0.500 0.500 0.300
O13 0.500 0.500 0.399
O14 0.500 0.500 0.499
O15 0.500 0.500 0.598
O16 0.500 0.500 0.698
O17 0.500 0.500 0.899
F1 0.500 0.500 0.100
F2 0.500 0.500 0.798
F3 0.500 0.500 0.999

(6)
# TiB3Ru, relaxed, DFT PBE
# - Magnetic moment: 0.0000 μB per atom
# - Uncorrected energy: -6.7043 eV per atom
# - Energy above the most stable polymorph in this dataset: 0 meV/atom
# - Calculated formation energy: 0.736 eV per atom
data_TiB3Ru
_chemical_formula_sum 'Ti1 B3 Ru1'
_cell_length_a 3.954
_cell_length_b 3.954
_cell_length_c 3.954
_cell_angle_alpha 90.00
_cell_angle_beta 90.00
_cell_angle_gamma 90.00
_symmetry_space_group_name_H-M 'P m -3 m'
_symmetry_Int_Tables_number 221
_symmetry_space_group_name_Hall '-P 4 2 3'
loop_
_atom_site_label
_atom_site_fract_x
_atom_site_fract_y
_atom_site_fract_z
Ti1 0.000 0.000 0.000
B1 0.000 0.500 0.500
Ru1 0.500 0.500 0.500

Number 4 is which compound?
LiYPb6

Which of these has the highest magnetic moment?
CrP2CCl